Entry from Alexandria via LeMat-Bulk: crystalline NaFeGe2O6 at its relaxed geometry (PBE+U).

a b c (Å): 6.8043 6.8043 5.5934
angles (deg): 103.22 103.22 83.00
Positions (direct):
Na 0.1997 0.8003 0.7500
Na 0.8003 0.1997 0.2500
Fe 0.4035 0.5965 0.2500
Fe 0.5965 0.4035 0.7500
Ge 0.1190 0.3067 0.7726
Ge 0.3067 0.1190 0.2726
Ge 0.6933 0.8810 0.7274
Ge 0.8810 0.6933 0.2274
O 0.1284 0.5869 0.2980
O 0.1344 0.1431 0.9838
O 0.1431 0.1344 0.4838
O 0.3139 0.4762 0.8694
O 0.4131 0.8716 0.2020
O 0.4762 0.3139 0.3694
O 0.5238 0.6861 0.6306
O 0.5869 0.1284 0.7980
O 0.6861 0.5238 0.1306
O 0.8569 0.8656 0.5162
O 0.8656 0.8569 0.0162
O 0.8716 0.4131 0.7020

The final energy is -0.4617 Ry/atom. Its total magnetic moment is 0.50 μB per atom.